Here is crystalline UCr2PdO8 at its relaxed geometry from Alexandria. Energies are from PBE+U.

Results
Total energy: -7.804 eV/atom

a b c (Å): 4.7344 4.7324 6.2795
angles (deg): 90.00 90.00 91.21
Closest atoms and distances in Å follow each position.
Element x y z (fractional)
U 0.0000 0.0000 0.5000  6 O 2.06-2.10
Cr 0.5000 0.5000 0.7612  6 O 1.96-2.06
Cr 0.5000 0.5000 0.2388  6 O 1.96-2.06
Pd 0.0000 0.0000 0.0000  6 O 2.04-2.05
O 0.1996 0.7995 0.2453  1 Cr 2.03, 1 Pd 2.05, 1 U 2.10
O 0.6907 0.6921 0.0000  2 Cr 1.96, 1 Pd 2.04
O 0.8003 0.2005 0.2453  1 Cr 2.03, 1 Pd 2.05, 1 U 2.10
O 0.8004 0.2005 0.7547  1 Cr 2.03, 1 Pd 2.05, 1 U 2.10
O 0.3093 0.3079 0.0000  2 Cr 1.96, 1 Pd 2.04
O 0.1997 0.7995 0.7547  1 Cr 2.03, 1 Pd 2.05, 1 U 2.10
O 0.6887 0.6894 0.5000  1 U 2.06, 2 Cr 2.06
O 0.3113 0.3106 0.5000  1 U 2.06, 2 Cr 2.06

Here is crystalline V2CrPdO8 at its relaxed geometry from Alexandria. Energies are from PBE+U.

Results
Total energy: -6.996 eV/atom

a b c (Å): 5.7099 5.7099 5.6158
angles (deg): 90.00 90.00 120.00
Closest atoms and distances in Å follow each position.
Element x y z (fractional)
V 0.6667 0.3333 0.3276  1 O 1.62
V 0.3333 0.6667 0.6724  1 O 1.62
Cr 0.0000 0.0000 0.5000  6 O 2.03
Pd 0.0000 0.0000 0.0000  6 O 2.11
O 0.8460 0.1540 0.2604  1 V 1.81
O 0.8460 0.6919 0.2604  1 V 1.81
O 0.3081 0.1540 0.2604  1 V 1.81
O 0.6919 0.8460 0.7396  1 V 1.81
O 0.3333 0.6667 0.3843  1 V 1.62
O 0.6667 0.3333 0.6157  1 V 1.62
O 0.1540 0.8460 0.7396  1 V 1.81
O 0.1540 0.3081 0.7396  1 V 1.81

Here is crystalline Pm2CrO5 at its relaxed geometry from Alexandria. Energies are from PBE+U.

Results
Total energy: -8.013 eV/atom

a b c (Å): 3.9146 10.5931 11.2440
angles (deg): 90.00 90.00 90.00
Closest atoms and distances in Å follow each position.
Element x y z (fractional)
Pm 0.2500 0.6398 0.0526  7 O 2.36-2.46
Pm 0.7500 0.3602 0.9474  7 O 2.36-2.46
Pm 0.7500 0.8602 0.5526  7 O 2.36-2.46
Pm 0.2500 0.1398 0.4474  7 O 2.36-2.46
Pm 0.2500 0.1027 0.7794  7 O 2.32-2.48
Pm 0.7500 0.8973 0.2206  7 O 2.32-2.48
Pm 0.7500 0.3973 0.2794  7 O 2.32-2.48
Pm 0.2500 0.6027 0.7206  7 O 2.32-2.48
Cr 0.7500 0.8156 0.8732  3 O 1.76-1.85
Cr 0.2500 0.1844 0.1268  3 O 1.76-1.85
Cr 0.2500 0.6844 0.3732  3 O 1.76-1.85
Cr 0.7500 0.3156 0.6268  3 O 1.76-1.85
O 0.2500 0.7694 0.8757  2 Cr 2.02
O 0.7500 0.2306 0.1243  2 Cr 2.02
O 0.7500 0.7306 0.3757  2 Cr 2.02
O 0.2500 0.2694 0.6243  2 Cr 2.02
O 0.2500 0.5221 0.3383  1 Cr 1.76
O 0.7500 0.4779 0.6617  1 Cr 1.76
O 0.7500 0.9779 0.8383  1 Cr 1.76
O 0.2500 0.0221 0.1617  1 Cr 1.76
O 0.2500 0.7255 0.5328  1 Cr 1.85
O 0.7500 0.2745 0.4672  1 Cr 1.85
O 0.7500 0.7745 0.0328  1 Cr 1.85
O 0.2500 0.2255 0.9672  1 Cr 1.85
O 0.7500 0.7279 0.7304  1 Cr 1.85
O 0.2500 0.2721 0.2696  1 Cr 1.85
O 0.2500 0.7721 0.2304  1 Cr 1.85
O 0.7500 0.2279 0.7696  1 Cr 1.85
O 0.2500 0.9897 0.6028  4 Pm 2.32-2.46
O 0.7500 0.0103 0.3972  4 Pm 2.32-2.46
O 0.7500 0.5103 0.1028  4 Pm 2.32-2.46
O 0.2500 0.4897 0.8972  4 Pm 2.32-2.46

Here is crystalline PmCrO4 at its relaxed geometry from Alexandria. Energies are from PBE+U.

Results
Total energy: -7.651 eV/atom

a b c (Å): 6.1269 6.1269 6.1269
angles (deg): 105.88 105.88 116.91
Closest atoms and distances in Å follow each position.
Element x y z (fractional)
Pm 0.0000 0.0000 0.0000  8 O 2.41-2.50
Pm 0.7500 0.2500 0.5000  8 O 2.41-2.50
Cr 0.2500 0.7500 0.5000  4 O 1.73
Cr 0.5000 0.5000 0.0000  4 O 1.73
O 0.2389 0.9201 0.3189  1 Cr 1.73
O 0.6012 0.9201 0.6811  1 Cr 1.73
O 0.6701 0.8512 0.1811  1 Cr 1.73
O 0.5111 0.3299 0.1811  1 Cr 1.73
O 0.6701 0.4889 0.8189  1 Cr 1.73
O 0.0799 0.3988 0.3189  1 Cr 1.73
O 0.1488 0.3299 0.8189  1 Cr 1.73
O 0.0799 0.7611 0.6811  1 Cr 1.73